1.
MgIn2Cl4 after structural relaxation, computed with PBE.

```
MgIn2Cl4
1.0
-1.473 4.779 0.045
-0.409 -0.174 4.981
8.527 0.029 -1.809
Cl In Mg
4 2 1
direct
0.000 0.500 0.000
0.500 0.000 0.000
0.158 0.158 0.315
0.842 0.842 0.685
0.644 0.644 0.288
0.356 0.356 0.712
0.000 0.000 0.000
```

Output
DFT total energy	-0.12128	Ha/atom
M_tot	0.00	μB per cell
energy relative to the lowest polymorph listed for this composition	22	meV/atom
formation energy without anion corrections	-1.235	eV/atom

2.
MgMnIn2Cl6 after structural relaxation, computed with PBE.

```
MgMnIn2Cl6
1.0
-0.711 -6.314 -3.242
3.386 -5.730 2.562
-3.652 -5.209 3.100
Mn Cl In Mg
1 6 2 1
direct
0.816 0.816 0.552
0.611 0.066 0.802
0.068 0.521 0.800
0.564 0.111 0.302
0.521 0.610 0.802
0.111 0.022 0.300
0.021 0.566 0.300
0.566 0.567 0.302
0.066 0.066 0.803
0.316 0.316 0.052
```

Output
DFT total energy	-0.14385	Ha/atom
M_tot	5.00	μB per cell
formation energy without anion corrections	-1.182	eV/atom

3.
MgMnInCl5 after structural relaxation, computed with PBE.

```
MgMnInCl5
1.0
-2.456 1.739 -6.672
-2.245 -6.850 1.268
-5.359 5.160 5.724
Cl In Mg Mn
10 2 2 2
direct
0.067 0.933 0.250
0.368 0.236 0.069
0.093 0.693 0.898
0.236 0.368 0.569
0.307 0.907 0.602
0.933 0.067 0.750
0.907 0.307 0.102
0.693 0.093 0.398
0.632 0.764 0.931
0.764 0.632 0.431
0.330 0.670 0.250
0.670 0.330 0.750
0.000 0.000 0.500
0.000 0.000 0.000
0.686 0.314 0.250
0.314 0.686 0.750
```

Output
DFT total energy	-0.15181	Ha/atom
M_tot	9.99	μB per cell
formation energy without anion corrections	-1.289	eV/atom

4.
NaMg2InCl6 after structural relaxation, computed with PBE.

```
NaMg2InCl6
1.0
-3.043 -1.590 -6.061
-7.953 -3.432 3.694
-4.390 8.250 -1.158
Cl Mg Na In
12 4 2 2
direct
0.613 0.167 0.608
0.387 0.833 0.392
0.669 0.759 0.981
0.831 0.019 0.241
0.169 0.981 0.759
0.397 0.580 0.712
0.103 0.288 0.420
0.897 0.712 0.580
0.331 0.241 0.019
0.113 0.608 0.167
0.887 0.392 0.833
0.603 0.420 0.288
0.287 0.391 0.217
0.713 0.609 0.783
0.787 0.217 0.391
0.213 0.783 0.609
0.750 0.720 0.280
0.250 0.280 0.720
0.250 0.902 0.098
0.750 0.098 0.902
```

Output
DFT total energy	-0.12579	Ha/atom
M_tot	0.00	μB per cell
formation energy without anion corrections	-1.590	eV/atom

5.
NaMgInCl6 after structural relaxation, computed with PBE.

```
NaMgInCl6
1.0
6.539 0.000 0.000
-3.270 5.663 0.000
0.000 0.000 12.537
Cl Mg In Na
12 2 2 2
direct
0.359 0.362 0.365
0.359 0.997 0.135
0.997 0.638 0.865
0.003 0.362 0.135
0.003 0.641 0.365
0.362 0.003 0.635
0.638 0.997 0.365
0.641 0.638 0.635
0.362 0.359 0.865
0.997 0.359 0.635
0.641 0.003 0.865
0.638 0.641 0.135
0.333 0.667 0.250
0.667 0.333 0.750
0.667 0.333 0.250
0.333 0.667 0.750
0.000 0.000 0.000
0.000 0.000 0.500
```

Output
DFT total energy	-0.12406	Ha/atom
M_tot	0.00	μB per cell
formation energy without anion corrections	-1.517	eV/atom

6.
Na3MgIn3Cl8 after structural relaxation, computed with PBE.

```
Na3MgIn3Cl8
1.0
-5.031 6.293 1.361
0.851 -5.848 5.655
6.701 5.605 -1.142
Na Cl In Mg
3 8 3 1
direct
0.500 0.000 0.500
0.000 0.500 0.500
0.500 0.500 0.500
0.766 0.980 0.694
0.214 0.980 0.694
0.263 0.526 0.290
0.234 0.020 0.306
0.214 0.429 0.694
0.786 0.571 0.306
0.737 0.474 0.710
0.786 0.020 0.306
0.000 0.000 0.000
0.500 0.500 0.000
0.000 0.500 0.000
0.000 0.000 0.500
```

Output
DFT total energy	-0.12154	Ha/atom
M_tot	0.00	μB per cell
formation energy without anion corrections	-1.405	eV/atom

7.
NaMgInCl4 after structural relaxation, computed with PBE.

```
NaMgInCl4
1.0
7.071 0.000 0.178
0.000 7.261 0.000
-2.555 0.000 8.132
Cl Na In Mg
8 2 2 2
direct
0.969 0.004 0.713
0.031 0.996 0.287
0.969 0.496 0.713
0.540 0.250 0.846
0.473 0.750 0.593
0.527 0.250 0.407
0.031 0.504 0.287
0.460 0.750 0.154
0.792 0.750 0.443
0.208 0.250 0.557
0.753 0.750 0.926
0.247 0.250 0.074
0.743 0.250 0.671
0.257 0.750 0.329
```

Output
DFT total energy	-0.12358	Ha/atom
M_tot	0.00	μB per cell
formation energy without anion corrections	-1.500	eV/atom

8.
NaMg2In2Cl7 after structural relaxation, computed with PBE.

```
NaMg2In2Cl7
1.0
5.002 0.009 -0.057
0.015 5.002 -0.057
2.284 2.281 12.917
In Cl Na Mg
2 7 1 2
direct
0.204 0.204 0.636
0.796 0.796 0.364
0.352 0.352 0.384
0.500 0.500 0.000
0.925 0.432 0.184
0.648 0.648 0.616
0.432 0.925 0.184
0.568 0.075 0.816
0.075 0.568 0.816
0.000 0.000 0.000
0.582 0.582 0.807
0.418 0.418 0.193
```

Output
DFT total energy	-0.12305	Ha/atom
M_tot	0.00	μB per cell
formation energy without anion corrections	-1.439	eV/atom

9.
NaMg2InCl8 after structural relaxation, computed with PBE.

```
NaMg2InCl8
1.0
-5.216 2.660 2.205
-1.048 -4.798 3.492
4.059 3.250 5.684
Cl In Mg Na
8 1 2 1
direct
0.824 0.230 0.234
0.176 0.770 0.766
0.662 0.708 0.500
0.338 0.292 0.500
0.176 0.770 0.234
0.333 0.280 0.000
0.824 0.230 0.766
0.667 0.720 0.000
0.000 0.000 0.000
0.500 0.500 0.257
0.500 0.500 0.743
0.000 0.000 0.500
```

Output
DFT total energy	-0.12409	Ha/atom
M_tot	0.00	μB per cell
formation energy without anion corrections	-1.542	eV/atom

10.
NdMgInCl6 after structural relaxation, computed with PBE.

```
NdMgInCl6
1.0
6.942 0.000 0.000
-3.471 6.012 0.000
0.000 0.000 13.820
Cl In Mg Nd
12 2 2 2
direct
0.640 0.023 0.857
0.384 0.023 0.643
0.360 0.384 0.357
0.977 0.360 0.643
0.616 0.640 0.143
0.023 0.384 0.143
0.977 0.616 0.857
0.640 0.616 0.643
0.023 0.640 0.357
0.616 0.977 0.357
0.384 0.360 0.857
0.360 0.977 0.143
0.000 0.000 0.500
0.000 0.000 0.000
0.333 0.667 0.250
0.667 0.333 0.750
0.333 0.667 0.750
0.667 0.333 0.250
```

Output
DFT total energy	-0.14893	Ha/atom
M_tot	0.00	μB per cell
formation energy without anion corrections	-1.810	eV/atom

11.
MgInPCl2 after structural relaxation, computed with PBE.

```
MgInPCl2
1.0
5.110 0.000 0.000
0.000 5.110 0.000
0.000 0.000 5.448
Cl P In Mg
2 1 1 1
direct
0.500 0.000 0.000
0.000 0.500 0.000
0.000 0.000 0.500
0.000 0.000 0.000
0.500 0.500 0.500
```

Output
DFT total energy	-0.10391	Ha/atom
M_tot	0.29	μB per cell
energy relative to the lowest polymorph listed for this composition	370	meV/atom
formation energy without anion corrections	-0.140	eV/atom

12.
MgInPCl2 after structural relaxation, computed with PBE.

```
MgInPCl2
1.0
-3.445 2.416 2.087
-2.880 -3.676 -0.498
1.655 -1.977 5.020
P Cl Mg In
1 2 1 1
direct
0.000 0.000 0.500
0.500 0.000 0.000
0.000 0.500 0.000
0.000 0.000 0.000
0.500 0.500 0.500
```

Output
DFT total energy	-0.11751	Ha/atom
M_tot	0.64	μB per cell
energy relative to the lowest polymorph listed for this composition	0	meV/atom
formation energy without anion corrections	-0.510	eV/atom

13.
MgIn2PbCl after structural relaxation, computed with PBE.

```
MgIn2PbCl
1.0
5.567 0.000 0.000
0.000 5.551 0.000
0.000 0.000 5.567
In Cl Mg Pb
2 1 1 1
direct
0.000 0.000 0.500
0.500 0.000 0.000
0.500 0.500 0.500
0.000 0.000 0.000
0.000 0.500 0.000
```

Output
DFT total energy	-0.08773	Ha/atom
M_tot	0.00	μB per cell
formation energy without anion corrections	0.138	eV/atom

14.
RbMgInCl6 after structural relaxation, computed with PBE.

```
RbMgInCl6
1.0
-3.152 -2.771 5.132
3.206 -0.991 5.718
-2.087 6.688 2.329
Cl Rb In Mg
6 1 1 1
direct
0.376 0.997 0.698
0.627 0.376 0.698
0.376 0.627 0.302
0.997 0.627 0.697
0.627 0.997 0.302
0.997 0.376 0.302
0.000 0.000 0.000
0.333 0.333 0.500
0.667 0.667 0.500
```

Output
DFT total energy	-0.12499	Ha/atom
M_tot	0.00	μB per cell
formation energy without anion corrections	-1.581	eV/atom

15.
Rb3Mg2InCl8 after structural relaxation, computed with PBE.

```
Rb3Mg2InCl8
1.0
7.791 0.000 0.000
-3.896 6.747 0.000
0.000 0.000 9.470
Cl Mg Rb In
8 2 3 1
direct
0.175 0.350 0.294
0.667 0.333 0.055
0.333 0.667 0.945
0.650 0.825 0.294
0.825 0.175 0.706
0.825 0.650 0.706
0.175 0.825 0.294
0.350 0.175 0.706
0.333 0.667 0.187
0.667 0.333 0.813
0.333 0.667 0.615
0.000 0.000 0.000
0.667 0.333 0.385
0.000 0.000 0.500
```

Output
DFT total energy	-0.12516	Ha/atom
M_tot	0.00	μB per cell
formation energy without anion corrections	-1.720	eV/atom

16.
Rb3Mg2InCl9 after structural relaxation, computed with PBE.

```
Rb3Mg2InCl9
1.0
7.345 0.000 0.000
-3.672 6.361 0.000
0.000 0.000 9.025
Cl Rb Mg In
9 3 2 1
direct
0.826 0.651 0.676
0.174 0.826 0.324
0.174 0.349 0.324
0.826 0.174 0.676
0.651 0.826 0.324
0.500 0.000 0.000
0.000 0.500 0.000
0.500 0.500 0.000
0.349 0.174 0.676
0.333 0.667 0.666
0.667 0.333 0.334
0.000 0.000 0.000
0.333 0.667 0.155
0.667 0.333 0.845
0.000 0.000 0.500
```

Output
DFT total energy	-0.12472	Ha/atom
M_tot	0.00	μB per cell
formation energy without anion corrections	-1.697	eV/atom

17.
RbMgInCl4 after structural relaxation, computed with PBE.

```
RbMgInCl4
1.0
7.421 0.000 -0.197
0.000 7.465 0.000
-3.136 0.000 8.829
Cl In Rb Mg
8 2 2 2
direct
0.039 0.502 0.236
0.554 0.250 0.846
0.039 0.998 0.236
0.557 0.250 0.438
0.443 0.750 0.562
0.961 0.002 0.764
0.446 0.750 0.154
0.961 0.498 0.764
0.808 0.750 0.487
0.192 0.250 0.513
0.287 0.250 0.061
0.713 0.750 0.939
0.248 0.750 0.300
0.752 0.250 0.700
```

Output
DFT total energy	-0.12494	Ha/atom
M_tot	0.00	μB per cell
formation energy without anion corrections	-1.587	eV/atom

18.
RbMg2In2Cl7 after structural relaxation, computed with PBE.

```
RbMg2In2Cl7
1.0
5.051 0.012 -0.076
0.018 5.051 -0.076
2.256 2.253 13.052
In Cl Rb Mg
2 7 1 2
direct
0.208 0.208 0.633
0.792 0.792 0.367
0.574 0.076 0.809
0.358 0.358 0.384
0.500 0.500 0.000
0.426 0.924 0.191
0.076 0.574 0.809
0.642 0.642 0.616
0.924 0.426 0.191
0.000 0.000 0.000
0.418 0.418 0.196
0.582 0.582 0.804
```

Output
DFT total energy	-0.12484	Ha/atom
M_tot	0.00	μB per cell
formation energy without anion corrections	-1.517	eV/atom

19.
RbMgIn2Cl8 after structural relaxation, computed with PBE.

```
RbMgIn2Cl8
1.0
-2.272 -0.988 6.205
-6.332 -1.896 0.977
-0.222 -10.042 1.918
Cl In Mg Rb
8 2 1 1
direct
0.659 0.274 0.155
0.821 0.821 0.537
0.912 0.659 0.155
0.274 0.912 0.155
0.088 0.341 0.845
0.726 0.088 0.845
0.179 0.179 0.463
0.341 0.726 0.845
0.265 0.265 0.205
0.735 0.735 0.795
0.000 0.000 0.000
0.500 0.500 0.500
```

Output
DFT total energy	-0.11745	Ha/atom
M_tot	0.68	μB per cell
formation energy without anion corrections	-1.295	eV/atom

20.
MgInS2Cl after structural relaxation, computed with PBE.

```
MgInS2Cl
1.0
-2.729 4.294 0.529
-2.804 -2.231 3.650
3.225 1.622 3.469
S Mg Cl In
2 1 1 1
direct
0.500 0.000 0.000
0.000 0.500 0.000
0.500 0.500 0.500
0.000 0.000 0.500
0.000 0.000 0.000
```

Output
DFT total energy	-0.11484	Ha/atom
M_tot	0.00	μB per cell
energy relative to the lowest polymorph listed for this composition	174	meV/atom
formation energy without anion corrections	-0.238	eV/atom